TlGa2SnSe6 PBE optimized geometry; crystal system = monoclinic; formation energy without anion corrections = -0.3306 eV/atom; N(E_F) = 0.434 states/eV/atom; uncorrected energy = -36.64 eV/f.u.
1.0
7.138 -6.531 0.000
7.138 6.531 0.000
-4.348 0.000 6.941
Tl Ga Sn Se
2 4 2 12
Cartesian
3.877 4.324 5.206
6.051 -4.324 1.735
0.508 0.955 6.406
2.682 -0.955 2.935
7.247 0.955 4.006
9.421 -0.955 0.535
6.051 4.423 1.735
3.877 -4.423 5.206
-1.169 0.594 4.679
1.062 3.318 6.450
1.005 -0.594 1.209
2.543 0.594 4.788
6.693 3.318 3.961
4.717 -0.594 1.318
5.212 0.594 5.623
3.236 -3.318 2.980
7.386 -0.594 2.153
8.923 0.594 5.732
8.867 -3.318 0.491
11.097 -0.594 2.262

=====

TlGaSnSe3 PBE optimized geometry; crystal system = monoclinic; formation energy without anion corrections = -0.4670 eV/atom; N(E_F) = 0.078 states/eV/atom; uncorrected energy = -22.65 eV/f.u.
1.0
9.424 0.000 0.000
0.000 4.190 0.000
-1.906 0.000 9.861
Tl Ga Sn Se
2 2 2 6
Cartesian
1.364 1.048 1.888
6.154 3.143 7.973
-0.428 1.048 6.114
7.946 3.143 3.747
1.755 3.143 8.483
5.763 1.048 1.379
-0.531 1.048 8.461
0.641 3.143 5.087
3.645 3.143 1.338
3.873 1.048 8.524
6.877 1.048 4.774
8.049 3.143 1.401

=====

Sr2GaSe PBE optimized geometry; offset from the most stable computed form = 52 meV per atom; crystal system = cubic; formation energy without anion corrections = -0.7449 eV/atom; N(E_F) = 1.130 states/eV/atom; uncorrected energy = -12.85 eV/f.u.
1.0
7.802 0.000 0.000
0.000 7.802 0.000
0.000 0.000 7.802
Sr Ga Se
8 4 4
Cartesian
1.950 1.950 1.950
1.950 1.950 5.851
1.950 5.851 1.950
1.950 5.851 5.851
5.851 1.950 1.950
5.851 1.950 5.851
5.851 5.851 1.950
5.851 5.851 5.851
0.000 0.000 0.000
0.000 3.901 3.901
3.901 0.000 3.901
3.901 3.901 0.000
0.000 0.000 3.901
0.000 3.901 0.000
3.901 0.000 0.000
3.901 3.901 3.901

=====

SrGa2Se PBE optimized geometry; crystal system = tetragonal; formation energy without anion corrections = -0.5015 eV/atom; N(E_F) = 0.455 states/eV/atom; uncorrected energy = -13.23 eV/f.u.
1.0
8.366 0.000 0.000
0.000 8.366 0.000
0.000 0.000 6.102
Sr Ga Se
4 8 4
Cartesian
0.000 0.000 0.000
0.000 4.183 1.525
4.183 0.000 4.576
4.183 4.183 3.051
1.743 6.275 3.814
2.092 1.743 2.288
2.092 2.440 5.339
2.440 6.275 0.763
5.927 2.092 0.763
6.275 5.927 5.339
6.275 6.623 2.288
6.623 2.092 3.814
0.000 0.000 3.051
0.000 4.183 4.576
4.183 0.000 1.525
4.183 4.183 0.000

=====

Sr5GaSe6 PBE optimized geometry; crystal system = monoclinic; formation energy without anion corrections = -1.7038 eV/atom; N(E_F) = 0.491 states/eV/atom; uncorrected energy = -52.79 eV/f.u.
1.0
3.810 -6.601 0.000
3.810 6.601 0.000
-2.537 0.000 7.182
Sr Ga Se
5 1 6
Cartesian
0.000 0.000 0.000
2.541 4.400 3.591
3.810 2.196 0.000
3.810 -2.196 0.000
2.541 -4.400 3.591
2.541 0.000 3.591
1.314 2.120 1.840
0.099 0.000 5.323
1.314 -2.120 1.840
3.768 2.120 5.341
4.983 0.000 1.858
3.768 -2.120 5.341

=====

SrGa3Se PBE optimized geometry; offset from the most stable computed form = 802 meV per atom; crystal system = cubic; formation energy without anion corrections = 0.8546 eV/atom; N(E_F) = 0.782 states/eV/atom; uncorrected energy = -9.97 eV/f.u.
1.0
5.814 0.000 0.000
0.000 5.814 0.000
0.000 0.000 5.814
Sr Ga Se
1 3 1
Cartesian
0.000 0.000 0.000
0.000 0.000 2.907
0.000 2.907 0.000
2.907 0.000 0.000
2.907 2.907 2.907

=====

Sr2GaSe2 PBE optimized geometry; crystal system = tetragonal; formation energy without anion corrections = -1.3507 eV/atom; N(E_F) = 0.132 states/eV/atom; uncorrected energy = -20.11 eV/f.u.
1.0
8.370 0.000 0.000
0.000 8.370 0.000
0.000 0.000 4.067
Sr Ga Se
4 2 4
Cartesian
1.306 2.880 0.000
2.880 7.065 0.000
5.491 1.306 0.000
7.065 5.491 0.000
0.000 0.000 2.033
4.185 4.185 2.033
1.267 5.452 2.033
2.918 1.267 2.033
5.452 7.103 2.033
7.103 2.918 2.033

=====

Sr2GaSe PBE optimized geometry; offset from the most stable computed form = 115 meV per atom; crystal system = trigonal; formation energy without anion corrections = -0.6820 eV/atom; N(E_F) = 0.896 states/eV/atom; uncorrected energy = -12.60 eV/f.u.
1.0
4.211 0.000 0.000
-2.106 3.647 0.000
0.000 0.000 30.713
Sr Ga Se
6 3 3
Cartesian
0.000 0.000 3.208
0.000 0.000 27.505
0.000 2.431 17.267
0.000 2.431 23.683
2.106 1.216 7.030
2.106 1.216 13.446
0.000 0.000 0.000
0.000 2.431 20.475
2.106 1.216 10.238
0.000 0.000 15.357
0.000 2.431 5.119
2.106 1.216 25.594

=====

SrGaSe2 PBE optimized geometry; crystal system = tetragonal; formation energy without anion corrections = -1.0165 eV/atom; N(E_F) = 0.045 states/eV/atom; uncorrected energy = -15.74 eV/f.u.
1.0
6.377 0.000 0.000
0.000 6.377 0.000
0.000 0.000 13.721
Sr Ga Se
4 4 8
Cartesian
0.000 0.000 0.000
0.000 3.189 3.430
3.189 0.000 10.290
3.189 3.189 6.860
0.000 0.000 6.860
0.000 3.189 10.290
3.189 0.000 3.430
3.189 3.189 0.000
1.239 1.594 8.575
1.594 4.428 12.006
1.594 5.138 5.145
1.950 1.594 1.715
4.428 4.783 1.715
4.783 1.239 5.145
4.783 1.950 12.006
5.138 4.783 8.575

=====

SrGaSe2 PBE optimized geometry; crystal system = monoclinic; formation energy without anion corrections = -1.1779 eV/atom; N(E_F) = 0.000 states/eV/atom; uncorrected energy = -16.39 eV/f.u.
1.0
7.695 0.000 0.000
0.000 8.705 0.000
-2.939 0.000 7.198
Sr Ga Se
4 4 8
Cartesian
0.416 1.120 3.521
-1.054 3.233 7.120
5.809 5.473 0.078
4.339 7.585 3.677
0.365 5.989 4.661
1.835 7.069 1.062
2.920 1.636 6.136
4.390 2.716 2.537
-1.959 6.057 6.032
-0.490 7.001 2.433
2.895 0.796 1.630
1.425 3.556 5.229
3.330 5.149 1.969
1.860 7.909 5.568
5.245 1.704 4.765
6.715 2.649 1.166

=====

SrGaSe3 PBE optimized geometry; offset from the most stable computed form = 0 meV per atom; crystal system = monoclinic; formation energy without anion corrections = -0.9993 eV/atom; uncorrected energy = -20.16 eV/f.u.
1.0
6.795 -4.516 0.000
6.795 4.516 0.000
-0.525 0.000 4.919
Sr Ga Se
2 2 6
Cartesian
0.000 0.000 0.000
7.640 0.000 2.274
4.390 1.592 1.095
4.390 -1.592 1.095
6.067 2.666 2.392
2.635 0.000 1.788
5.107 0.000 4.635
9.584 1.235 0.028
6.067 -2.666 2.392
9.584 -1.235 0.028

=====

Sr3Ga5Se12 PBE optimized geometry; crystal system = cubic; formation energy without anion corrections = -0.8200 eV/atom; N(E_F) = 0.955 states/eV/atom; uncorrected energy = -78.39 eV/f.u.
1.0
-8.148 8.148 8.148
8.148 -8.148 8.148
8.148 8.148 -8.148
Sr Ga Se
12 20 48
Cartesian
4.074 2.037 0.000
8.148 4.074 -2.037
2.037 0.000 4.074
10.185 0.000 4.074
0.000 4.074 2.037
4.074 -2.037 8.148
4.074 10.185 0.000
8.148 4.074 6.111
-2.037 8.148 4.074
6.111 8.148 4.074
0.000 4.074 10.185
4.074 6.111 8.148
0.000 0.000 0.000
4.074 4.074 -4.074
4.074 -4.074 4.074
8.148 0.000 0.000
12.222 2.037 0.000
8.148 -4.074 6.111
6.111 8.148 -4.074
6.111 0.000 4.074
4.074 6.111 0.000
8.148 4.074 2.037
-4.074 4.074 4.074
0.000 8.148 0.000
0.000 0.000 8.148
4.074 4.074 4.074
0.000 4.074 6.111
4.074 2.037 8.148
2.037 8.148 4.074
2.037 0.000 12.222
0.000 12.222 2.037
-4.074 6.111 8.148
2.395 -0.511 0.940
9.826 5.014 -4.585
7.636 -0.940 2.395
10.543 0.511 0.940
9.826 -3.134 4.585
12.733 -1.679 3.134
0.940 2.395 -0.511
11.281 3.563 -1.679
5.014 4.585 -1.679
7.207 2.395 0.511
-0.511 0.940 2.395
4.585 -1.679 5.014
7.636 7.207 -2.395
4.585 1.679 3.134
5.014 -4.585 9.826
7.207 -2.395 7.636
3.134 4.585 1.679
9.088 5.752 0.511
2.395 7.636 -0.940
4.585 9.826 -3.134
7.636 0.940 5.752
9.826 3.134 3.563
1.679 3.134 4.585
2.395 0.511 7.207
5.752 7.636 0.940
6.469 5.014 3.563
-1.679 5.014 4.585
0.511 7.207 2.395
3.563 -1.679 11.281
5.752 0.511 9.088
-0.940 2.395 7.636
5.014 3.563 6.469
0.940 10.543 0.511
3.134 12.733 -1.679
3.563 6.469 5.014
0.511 0.940 10.543
3.563 9.826 3.134
8.659 7.207 5.752
0.940 5.752 7.636
3.134 3.563 9.826
-3.134 4.585 9.826
7.207 5.752 8.659
-4.585 9.826 5.014
-1.679 11.281 3.563
-2.395 7.636 7.207
0.511 9.088 5.752
-1.679 3.134 12.733
5.752 8.659 7.207

=====

SrGaSe3 PBE optimized geometry; offset from the most stable computed form = 252 meV per atom; crystal system = cubic; formation energy without anion corrections = -0.7469 eV/atom; N(E_F) = 0.622 states/eV/atom; uncorrected energy = -18.90 eV/f.u.
1.0
5.084 0.000 0.000
0.000 5.084 0.000
0.000 0.000 5.084
Sr Ga Se
1 1 3
Cartesian
0.000 0.000 0.000
2.542 2.542 2.542
0.000 2.542 2.542
2.542 0.000 2.542
2.542 2.542 0.000

=====

SrGa3Se PBE optimized geometry; offset from the most stable computed form = 0 meV per atom; crystal system = cubic; formation energy without anion corrections = 0.0524 eV/atom; N(E_F) = 0.699 states/eV/atom; uncorrected energy = -13.98 eV/f.u.
1.0
5.309 0.000 0.000
0.000 5.309 0.000
0.000 0.000 5.309
Sr Ga Se
1 3 1
Cartesian
0.000 0.000 0.000
0.000 2.655 2.655
2.655 0.000 2.655
2.655 2.655 0.000
2.655 2.655 2.655

=====

SrGaSe3 PBE optimized geometry; offset from the most stable computed form = 1002 meV per atom; crystal system = cubic; formation energy without anion corrections = 0.0023 eV/atom; N(E_F) = 0.435 states/eV/atom; uncorrected energy = -15.15 eV/f.u.
1.0
5.885 0.000 0.000
0.000 5.885 0.000
0.000 0.000 5.885
Sr Ga Se
1 1 3
Cartesian
0.000 0.000 0.000
2.943 2.943 2.943
0.000 0.000 2.943
0.000 2.943 0.000
2.943 0.000 0.000

=====

Sr3GaSe4 PBE optimized geometry; crystal system = orthorhombic; formation energy without anion corrections = -1.4752 eV/atom; N(E_F) = 0.497 states/eV/atom; uncorrected energy = -33.81 eV/f.u.
1.0
10.291 0.000 0.000
0.000 8.930 0.000
0.000 0.000 6.226
Sr Ga Se
6 2 8
Cartesian
0.000 1.356 0.000
2.516 2.966 3.118
2.629 5.964 0.005
5.145 7.573 3.113
7.662 5.964 0.005
7.774 2.966 3.118
0.000 7.364 2.809
5.145 1.566 5.922
0.000 1.196 3.122
0.000 7.327 0.238
2.437 6.053 3.128
2.709 2.877 0.015
5.145 1.603 3.351
5.145 7.734 0.009
7.582 2.877 0.015
7.854 6.053 3.128

=====

Sr2GaSe PBE optimized geometry; offset from the most stable computed form = 0 meV per atom; crystal system = tetragonal; formation energy without anion corrections = -0.7968 eV/atom; N(E_F) = 0.577 states/eV/atom; uncorrected energy = -13.06 eV/f.u.
1.0
8.314 0.000 0.000
0.000 8.314 0.000
0.000 0.000 8.254
Sr Ga Se
8 4 4
Cartesian
1.886 2.079 1.032
2.079 6.043 3.095
2.079 6.428 7.222
2.271 2.079 5.159
6.043 6.236 5.159
6.236 1.886 7.222
6.236 2.271 3.095
6.428 6.236 1.032
0.000 0.000 4.127
0.000 4.157 6.191
4.157 0.000 2.064
4.157 4.157 0.000
0.000 0.000 0.000
0.000 4.157 2.064
4.157 0.000 6.191
4.157 4.157 4.127

=====

Sr2GaTeSe5 PBE optimized geometry; crystal system = orthorhombic; formation energy without anion corrections = -1.0275 eV/atom; N(E_F) = 0.100 states/eV/atom; uncorrected energy = -36.20 eV/f.u.
1.0
2.194 -9.069 0.000
2.194 9.069 0.000
0.000 0.000 12.741
Sr Ga Te Se
4 2 2 10
Cartesian
2.194 7.129 6.371
2.194 6.727 1.745
2.194 -6.727 8.116
2.194 -7.129 0.000
2.194 1.136 3.027
2.194 -1.136 9.398
2.194 5.219 10.810
2.194 -5.219 4.439
2.194 8.289 10.710
2.194 3.933 5.999
2.194 3.382 2.030
2.194 2.589 10.429
2.194 0.209 7.387
2.194 -0.209 1.016
2.194 -2.589 4.058
2.194 -3.382 8.400
2.194 -3.933 12.370
2.194 -8.289 4.339

=====

SrGa2TeSe6 PBE optimized geometry; crystal system = monoclinic; formation energy without anion corrections = -0.6105 eV/atom; uncorrected energy = -37.89 eV/f.u.
1.0
7.314 -5.309 0.000
7.314 5.309 0.000
-3.365 0.000 7.421
Sr Ga Te Se
2 4 2 12
Cartesian
4.790 3.262 5.566
6.473 -3.262 1.855
1.393 0.850 6.092
3.076 -0.850 2.381
8.187 0.850 5.040
9.870 -0.850 1.330
6.473 2.629 1.855
4.790 -2.629 5.566
-0.761 0.829 4.834
2.000 3.102 6.751
0.921 -0.829 1.123
3.226 0.514 4.423
7.581 3.102 4.381
4.909 -0.514 0.713
6.354 0.514 6.708
3.683 -3.102 3.040
8.037 -0.514 2.998
10.342 0.829 6.298
9.263 -3.102 0.670
12.024 -0.829 2.587